# Pr5TmAg6 PBE optimized geometry
data_Pr5TmAg6
_chemical_formula_sum 'Pr10 Tm2 Ag12'
_cell_length_a 5.321
_cell_length_b 16.017
_cell_length_c 7.444
_cell_angle_alpha 90.00
_cell_angle_beta 90.00
_cell_angle_gamma 90.00
_space_group_name_H-M_alt 'C m m m'
_space_group_IT_number 65
_space_group_name_Hall '-C 2 2'
loop_
_atom_site_label
_atom_site_type_symbol
_atom_site_fract_x
_atom_site_fract_y
_atom_site_fract_z
_atom_site_occupancy
Pr1 Pr 0.000 0.000 0.000 1
Pr2 Pr 0.000 0.331 0.000 1
Pr3 Pr 0.000 0.335 0.500 1
Tm1 Tm 0.000 0.000 0.500 1
Ag1 Ag 0.000 0.160 0.259 1
Ag2 Ag 0.000 0.500 0.262 1
# Formation energy from the elements ... -0.256 eV/atom
# N(E_F) ... 0.84 states/eV per atom

# Pr2TmAg PBE optimized geometry
data_Pr2TmAg
_chemical_formula_sum 'Pr6 Tm3 Ag3'
_cell_length_a 3.6550
_cell_length_b 3.6550
_cell_length_c 32.0091
_cell_angle_alpha 90.00
_cell_angle_beta 90.00
_cell_angle_gamma 120.00
_space_group_name_H-M_alt 'R 3 m'
_space_group_IT_number 160
_space_group_name_Hall 'R 3 -2"'
loop_
_atom_site_label
_atom_site_type_symbol
_atom_site_fract_x
_atom_site_fract_y
_atom_site_fract_z
_atom_site_occupancy
Pr1 Pr 0.0000 0.0000 0.0000 1
Pr2 Pr 0.0000 0.0000 0.1796 1
Tm1 Tm 0.0000 0.0000 0.4227 1
Ag1 Ag 0.0000 0.0000 0.5905 1
# Formation energy from the elements ... 0.010 eV/atom
# N(E_F) ... 1.10 states/eV per atom
# Distance to the lowest polymorph of the same formula ... 37 kJ/mol of formula units